LuOs2 | GGA-PBEsol | relaxed

Computed properties:
Energy of formation from the pure elements: -0.381 eV/atom
Magnetic moment: 0.0 μB/f.u.
Crystal system: hexagonal

a = 5.2326 Å, b = 5.2326 Å, c = 8.6343 Å
α = 90.00°, β = 90.00°, γ = 120.00°
Space group P6_3/mmc (No. 194)
One atom of each set of equivalent atoms:
Lu (0.3333, 0.6667, 0.0657) (multiplicity 4)
Os (0.0000, 0.0000, 0.0000) (multiplicity 2)
Os (0.1725, 0.3451, 0.7500) (multiplicity 6)


LuSi2Os2 | GGA-PBEsol | relaxed

Computed properties:
E_form (uncorrected): -0.726 eV/atom
Magnetic moment: 0.0 μB/f.u.
Crystal system: tetragonal

a = 4.104 Å, b = 4.104 Å, c = 9.508 Å
α = 90.00°, β = 90.00°, γ = 90.00°
Space group I4/mmm (No. 139)
One atom of each set of equivalent atoms:
Lu (0.000, 0.000, 0.000) (multiplicity 2)
Si (0.000, 0.000, 0.375) (multiplicity 4)
Os (0.000, 0.500, 0.250) (multiplicity 4)


Please write out number 1 again, unchanged.
LuOs2 | GGA-PBEsol | relaxed

Computed properties:
Energy of formation from the pure elements: -0.381 eV/atom
Magnetic moment: 0.0 μB/f.u.
Crystal system: hexagonal

a = 5.2326 Å, b = 5.2326 Å, c = 8.6343 Å
α = 90.00°, β = 90.00°, γ = 120.00°
Space group P6_3/mmc (No. 194)
One atom of each set of equivalent atoms:
Lu (0.3333, 0.6667, 0.0657) (multiplicity 4)
Os (0.0000, 0.0000, 0.0000) (multiplicity 2)
Os (0.1725, 0.3451, 0.7500) (multiplicity 6)